Entry 1:
The following is a DFT calculation (GGA-PBE) of crystalline Ac5MgPb3 at its relaxed geometry.

```
18
Lattice="7.218 0.000 0.000 0.000 10.305 0.000 0.000 -5.152 8.924" Properties=species:S:1:pos:R:3 pbc="T T T"
Ac 0.000 5.152 2.975
Ac 3.609 0.000 5.950
Ac 0.000 0.000 5.950
Ac 3.609 5.152 2.975
Ac 5.413 3.658 6.336
Ac 5.413 8.810 2.589
Ac 5.413 2.989 0.000
Ac 1.804 1.495 2.589
Ac 1.804 -3.658 6.336
Ac 1.804 7.316 0.000
Mg 0.000 0.000 0.000
Mg 3.609 0.000 0.000
Pb 5.413 1.888 3.271
Pb 5.413 -3.264 5.654
Pb 5.413 6.528 0.000
Pb 1.804 3.264 5.654
Pb 1.804 8.417 3.271
Pb 1.804 3.777 0.000
```

Computed properties:
N(E_F)	19.37	states/eV/cell
ΔE_f	-398	meV per atom
symmetry	No. 193

---

Entry 2:
The following is a DFT calculation (GGA-PBE) of crystalline KCr4Se8 at its relaxed geometry.

```
13
Lattice="6.677 0.000 2.247 2.960 5.985 2.247 0.590 0.366 9.291" Properties=species:S:1:pos:R:3 pbc="T T T"
K 5.114 3.176 6.892
Cr 3.338 0.000 1.123
Cr 4.819 2.992 2.247
Cr 1.480 2.992 1.123
Cr 0.000 0.000 0.000
Se 6.093 1.703 3.981
Se 6.000 1.645 9.803
Se 4.134 4.648 9.803
Se 2.648 1.645 8.675
Se 2.753 1.710 2.862
Se 7.474 4.641 10.923
Se 7.579 4.707 5.109
Se 4.228 4.707 3.981
```

Computed properties:
N(E_F)	9.50	states/eV/cell
symmetry	No. 166
uncorrected formation energy	-612	meV per atom

---

Entry 3:
The following is a DFT calculation (GGA-PBE) of crystalline Ac2InSi3Pt12 at its relaxed geometry.

```
18
Lattice="7.883 -0.233 -0.165 3.690 6.969 -0.165 3.690 2.148 6.632" Properties=species:S:1:pos:R:3 pbc="T T T"
Ac 9.303 5.415 3.841
Ac 5.960 3.469 2.461
In 0.000 0.000 0.000
Si 3.941 -0.116 -0.083
Si 1.845 3.485 -0.083
Si 1.845 1.074 3.316
Pt 7.354 4.281 5.869
Pt 11.498 6.693 2.267
Pt 9.463 7.848 5.567
Pt 9.678 2.960 2.100
Pt 11.498 4.352 5.567
Pt 7.354 6.954 2.100
Pt 7.909 4.604 0.433
Pt 3.766 2.192 4.034
Pt 5.801 1.036 0.735
Pt 5.585 5.924 4.202
Pt 3.766 4.532 0.735
Pt 7.909 1.931 4.202
```

Computed properties:
N(E_F)	5.48	states/eV/cell
symmetry	No. 166
uncorrected formation energy	-517	meV per atom

---

Values for total magnetic moment, μB per atom, ordered as above
0.106, 0.735, 0.000